[1]
The following is a DFT calculation (PBE) of a geometry-optimized Sm2ErTl3Te6 structure.

As for the electronic total energy: -105.307 eV per cell. Its density is 7.1 g/cm3.

The structure belongs to space group C2/m (No. 12); the cell edges are 7.781, 13.476 and 8.584 Å and the angles 90.00°, 107.59° and 90.00°. Symmetry generates all atoms from Sm at (0.000, 0.166, 0.000), Er at (0.000, 0.500, 0.000), Tl at (0.000, 0.000, 0.500), Tl at (0.000, 0.331, 0.500), Te at (0.235, 0.337, 0.215) and Te at (0.246, 0.000, 0.217).

---

[2]
The following is a DFT calculation (PBE) of a geometry-optimized Y3SnPb structure.

The formation energy from the elements comes out at -2.6 eV per formula unit. As for the electronic total energy: -59.341 eV per cell. The value obtained for the energy above the most stable polymorph in this dataset is 0 meV/atom. Its density is 6.4 g/cm3.

The structure belongs to space group P2_1/m (No. 11); the cell edges are 7.091, 4.760 and 9.166 Å and the angles 90.00°, 90.34° and 90.00°. Symmetry generates all atoms from Y at (0.008, 0.250, 0.303), Y at (0.254, 0.250, 0.931), Y at (0.490, 0.250, 0.306), Sn at (0.248, 0.750, 0.138) and Pb at (0.249, 0.250, 0.591).

---

[3]
The following is a DFT calculation (PBE) of a geometry-optimized SrTlSnPb structure.

The formation energy from the elements comes out at -1.3 eV per formula unit. As for the electronic total energy: -13.087 eV per cell. The value obtained for the energy above the most stable polymorph in this dataset is 0 meV/atom. Its density is 8.3 g/cm3.

The structure belongs to space group Pmmm (No. 47); the cell edges are 4.914, 4.985 and 5.023 Å and the angles 90.00°, 90.00° and 90.00°. Symmetry generates all atoms from Sr at (0.000, 0.000, 0.000), Tl at (0.500, 0.500, 0.000), Sn at (0.500, 0.000, 0.500) and Pb at (0.000, 0.500, 0.500).

---

[4]
The following is a DFT calculation (PBE) of a geometry-optimized Pm3Nd3ScS8 structure.

As for the electronic total energy: -295.163 eV per cell. Its density is 5.3 g/cm3.

The structure belongs to space group R-3m (No. 166, hexagonal axes); the cell edges are 8.0456, 8.0456 and 19.6522 Å and the angles 90.00°, 90.00° and 120.00°. Symmetry generates all atoms from Pm at (0.0000, 0.5000, 0.0000), Nd at (0.0000, 0.5000, 0.5000), Sc at (0.0000, 0.0000, 0.5000), S at (0.0000, 0.0000, 0.2510) and S at (0.0200, 0.5100, 0.2459).

---

[5]
The following is a DFT calculation (PBE) of a geometry-optimized Tb2ScPa2Co5 structure.

The formation energy from the elements comes out at -1.3 eV per formula unit. As for the electronic total energy: -142.748 eV per cell. Its density is 10.2 g/cm3.

The structure belongs to space group P4/mbm (No. 127); the cell edges are 10.360, 10.360 and 3.398 Å and the angles 90.00°, 90.00° and 90.00°. Symmetry generates all atoms from Tb at (0.170, 0.330, 0.000), Sc at (0.000, 0.000, 0.000), Pa at (0.139, 0.639, 0.000), Co at (0.000, 0.500, 0.500) and Co at (0.047, 0.793, 0.500).

---

[6]
The following is a DFT calculation (PBE) of a geometry-optimized TcAg3F structure.

As for the electronic total energy: -14.734 eV per cell. The value obtained for the energy above the most stable polymorph in this dataset is 564 meV/atom. Its density is 5.1 g/cm3.

The structure belongs to space group Pm-3m (No. 221); the cell edges are 5.228, 5.228 and 5.228 Å and the angles 90.00°, 90.00° and 90.00°. Symmetry generates all atoms from Tc at (0.000, 0.000, 0.000), Ag at (0.000, 0.000, 0.500) and F at (0.500, 0.500, 0.500).